Compound: SbPbCI2
Source: Alexandria via LeMat-Bulk
Functional: PBE
Structure: relaxed

## Properties
* V: 132.02 Å³/f.u.
* symmetry: P4/mmm

a b c (Å): 5.183 5.183 4.915
angles (deg): 90.00 90.00 90.00
Element x y z (fractional)
Pb1 0.500 0.500 0.500
I1 0.000 0.500 0.000
I2 0.500 0.000 0.000
C1 0.000 0.000 0.000
Sb1 0.000 0.000 0.500

=====

Compound: TePbCI2
Source: Alexandria via LeMat-Bulk
Functional: PBE
Structure: relaxed

## Properties
* V: 243.32 Å³/f.u.
* symmetry: P4/mmm

a b c (Å): 6.325 6.325 6.083
angles (deg): 90.00 90.00 90.00
Each line ends with the local moment (μB).
Element x y z (fractional)
Pb1 0.000 0.000 0.000  -0.01
I1 0.000 0.500 0.000  0.10
I2 0.500 0.000 0.000  0.10
C1 0.500 0.500 0.500  0.94
Te1 0.000 0.000 0.500  0.61

=====

Compound: TePbCI2
Source: Alexandria via LeMat-Bulk
Functional: PBE
Structure: relaxed

## Properties
* V: 134.53 Å³/f.u.
* symmetry: P4/mmm

a b c (Å): 5.202 5.202 4.972
angles (deg): 90.00 90.00 90.00
Element x y z (fractional)
Pb1 0.500 0.500 0.500
I1 0.000 0.500 0.000
I2 0.500 0.000 0.000
C1 0.000 0.000 0.000
Te1 0.000 0.000 0.500

=====

no.,uncorrected formation energy (eV per atom)
1,0.912
2,1.598
3,0.829